Computed, not measured: BaCuNi2 after structural relaxation at the GGA-PBE level of DFT.

Raw total energy: -16.1 eV for the cell shown
ΔE_f: 383 meV/atom

```
data_BaCuNi2
_chemical_formula_sum 'Ba1 Cu1 Ni2'
_cell_length_a 3.206
_cell_length_b 3.206
_cell_length_c 7.078
_cell_angle_alpha 90.00
_cell_angle_beta 90.00
_cell_angle_gamma 90.00
_space_group_name_H-M_alt 'P 4 m m'
_space_group_IT_number 99
_space_group_name_Hall 'P 4 -2'
loop_
_atom_site_label
_atom_site_type_symbol
_atom_site_fract_x
_atom_site_fract_y
_atom_site_fract_z
Ba1 Ba 0.000 0.000 0.000
Cu1 Cu 0.500 0.500 0.341
Ni1 Ni 0.000 0.000 0.524
Ni2 Ni 0.500 0.500 0.672
```